(1)
Compound: SrMg6Hg4
Source: the Alexandria database
Functional: PBE
Structure: optimized geometry

## Properties
- SG: No. 187
- Energy relative to the elements: -3.1 eV/f.u.

a = 4.349 Å, b = 8.407 Å, c = 8.407 Å
α = 120.00°, β = 90.00°, γ = 90.00°
Fractional positions:
Hg  0.500  0.381  0.190
Hg  0.500  0.810  0.619
Hg  0.000  0.333  0.667
Hg  0.500  0.810  0.190
Mg  0.000  0.533  0.467
Mg  0.500  0.204  0.796
Mg  0.500  0.592  0.796
Mg  0.500  0.204  0.408
Mg  0.000  0.935  0.467
Mg  0.000  0.533  0.065
Sr  0.000  0.000  0.000


(2)
Compound: YbSi2
Source: the Alexandria database
Functional: PBE
Structure: optimized geometry

## Properties
- SG: No. 191
- Formation energy without anion corrections: -10.76 kcal/mol of atoms

a = 4.048 Å, b = 4.048 Å, c = 3.981 Å
α = 90.00°, β = 90.00°, γ = 120.00°
Fractional positions:
Yb  0.000  0.000  0.000
Si  0.333  0.667  0.500
Si  0.667  0.333  0.500


(3)
Compound: K3Ce2TlS6
Source: the Alexandria database
Functional: PBE
Structure: optimized geometry

## Properties
- SG: No. 12
- Formation energy without anion corrections: -33.52 kcal/mol of atoms

a = 4.217 Å, b = 8.928 Å, c = 9.675 Å
α = 103.33°, β = 102.59°, γ = 90.00°
Fractional positions:
K  0.846  0.160  0.692
K  0.500  0.500  0.000
K  0.154  0.840  0.308
Ce  0.168  0.334  0.336
Ce  0.832  0.666  0.664
S  0.678  0.552  0.357
S  0.325  0.862  0.650
S  0.027  0.265  0.054
S  0.675  0.138  0.350
S  0.322  0.448  0.643
S  0.973  0.735  0.946
Tl  0.500  0.000  0.000


(4)
Compound: CeYRh
Source: the Alexandria database
Functional: PBE
Structure: optimized geometry

## Properties
- ΔE to the lowest computed polymorph: 19 kJ/mol of formula units
- SG: No. 14
- Energy relative to the elements: -1.4 eV/f.u.

a = 5.522 Å, b = 7.828 Å, c = 7.849 Å
α = 97.14°, β = 90.00°, γ = 90.00°
Fractional positions:
Ce  0.751  0.847  0.652
Ce  0.251  0.653  0.848
Ce  0.749  0.347  0.152
Ce  0.249  0.153  0.348
Y  0.749  0.339  0.660
Y  0.751  0.839  0.160
Y  0.251  0.661  0.340
Y  0.249  0.161  0.840
Rh  0.751  0.583  0.415
Rh  0.251  0.917  0.085
Rh  0.249  0.417  0.585
Rh  0.749  0.083  0.915


(5)
Compound: Ho3Er4Tl
Source: the Alexandria database
Functional: PBE
Structure: optimized geometry

## Properties
- SG: No. 123
- Energy relative to the elements: -0.6 eV/f.u.

a = 3.539 Å, b = 3.539 Å, c = 19.121 Å
α = 90.00°, β = 90.00°, γ = 90.00°
Fractional positions:
Er  0.000  0.000  0.888
Er  0.000  0.000  0.630
Er  0.000  0.000  0.370
Er  0.000  0.000  0.112
Tl  0.500  0.500  0.000
Ho  0.500  0.500  0.760
Ho  0.500  0.500  0.240
Ho  0.500  0.500  0.500


(6)
Compound: CeThIrPt
Source: the Alexandria database
Functional: PBE
Structure: optimized geometry

## Properties
- ΔE to the lowest computed polymorph: 0 kJ/mol of formula units
- SG: No. 123
- Energy relative to the elements: -4.0 eV/f.u.

a = 4.130 Å, b = 4.130 Å, c = 5.836 Å
α = 90.00°, β = 90.00°, γ = 90.00°
Fractional positions:
Th  0.500  0.391  0.093
Ir  0.000  0.891  0.092
Ce  0.000  0.892  0.592
Pt  0.500  0.392  0.593


(7)
Compound: PmNiBiPd
Source: the Alexandria database
Functional: PBE
Structure: optimized geometry

## Properties
- SG: No. 216
- Energy relative to the elements: -1.8 eV/f.u.

a = 4.881 Å, b = 4.881 Å, c = 4.881 Å
α = 60.00°, β = 60.00°, γ = 60.00°
Fractional positions:
Bi  0.250  0.250  0.250
Ni  0.500  0.500  0.500
Pd  0.000  0.000  0.000
Pm  0.750  0.750  0.750


(8)
Compound: NiTeN
Source: the Alexandria database
Functional: PBE
Structure: optimized geometry

## Properties
- ΔE to the lowest computed polymorph: 0 kJ/mol of formula units
- SG: No. 14
- Formation energy without anion corrections: -1.25 kcal/mol of atoms

a = 5.598 Å, b = 5.794 Å, c = 9.377 Å
α = 90.00°, β = 109.99°, γ = 90.00°
Fractional positions:
Te  0.679  0.002  0.833
Te  0.179  0.498  0.833
Te  0.821  0.502  0.167
Te  0.321  0.998  0.167
Ni  0.001  0.272  0.001
Ni  0.999  0.728  0.999
Ni  0.501  0.228  0.001
Ni  0.499  0.772  0.999
N  0.070  0.931  0.502
N  0.570  0.569  0.502
N  0.430  0.431  0.498
N  0.930  0.069  0.498


Sequential magnetization output: 0.0 0.0 0.3 2.6 0.0 0.3 0.0 0.0 μB/cell
Sequential total DFT energy (no corrections) output: -15.6 -13.8 -59.7 -84.6 -34.9 -32.3 -21.5 -69.6 eV/cell